No. 1
TbPrNd4S8: optimized geometry, PBE-GGA.

Results
symmetry	R3m (160)

Structure (extended XYZ):
```
14
Lattice="8.317 0.000 0.000 4.158 7.203 0.000 4.158 2.401 6.801" Properties=species:S:1:pos:R:3 pbc="T T T"
S 10.457 3.566 5.058
S 6.177 3.566 5.058
S 6.110 6.076 1.768
S 8.317 2.253 1.768
S 12.475 7.203 4.932
S 8.317 7.273 5.058
S 4.158 2.401 1.790
S 10.524 6.076 1.768
Nd 8.317 4.802 0.848
Nd 6.218 1.212 3.409
Nd 4.158 4.779 3.409
Nd 2.099 1.212 3.409
Pr 4.158 2.401 6.775
Tb 8.317 4.802 5.955
```

No. 2
Tb3Pr2NdS6: optimized geometry, PBE-GGA.

Results
symmetry	C2/m (12)

Structure (extended XYZ):
```
12
Lattice="-2.612 -2.998 -0.022 6.088 -5.309 0.639 -0.867 3.331 8.309" Properties=species:S:1:pos:R:3 pbc="T T T"
S 1.595 -4.049 3.073
S -1.596 -1.267 2.849
S 1.014 -0.927 5.853
S 4.505 -3.928 0.538
S -1.895 -1.048 8.388
S 4.206 -3.709 6.077
Pr 1.304 -3.817 5.947
Pr 1.305 -1.159 2.979
Tb 4.348 -3.813 3.304
Tb 1.738 -4.154 0.309
Tb -1.739 -1.164 5.622
Nd -1.306 -1.499 -0.011
```

No. 3
TbPrNd2S6: optimized geometry, PBE-GGA.

Results
symmetry	R3 (146)

Structure (extended XYZ):
```
10
Lattice="-1.518 6.850 1.402 -4.154 3.732 -4.473 -6.981 1.738 2.210" Properties=species:S:1:pos:R:3 pbc="T T T"
S -7.180 3.707 -0.010
S -8.836 6.787 -0.913
S -5.937 5.349 -3.304
S -6.859 6.617 2.105
S -3.557 5.392 0.466
S -5.695 9.073 -0.862
Tb -2.156 3.434 -0.855
Nd -6.694 1.839 2.027
Nd -5.995 6.277 -0.641
Pr -8.548 9.571 -1.245
```

No. 4
TbPr2Nd3S6: optimized geometry, PBE-GGA.

Results
symmetry	C2/m (12)

Structure (extended XYZ):
```
12
Lattice="-0.332 1.748 6.810 0.493 -6.761 -1.893 6.547 2.096 -1.429" Properties=species:S:1:pos:R:3 pbc="T T T"
Pr -0.057 -1.086 3.911
Pr 0.218 -3.927 1.005
Nd 3.354 -1.458 1.744
Nd 3.626 -4.259 -1.121
Nd 3.083 1.342 4.608
S 1.518 0.672 2.256
S 4.950 0.368 0.110
S 1.758 -3.285 3.378
S 5.191 -3.589 1.232
S 1.785 -2.084 -0.562
S 4.923 -0.833 4.050
Tb 0.000 0.000 0.000
```

No. 5
Tb3PrNd4S8: optimized geometry, PBE-GGA.

Results
symmetry	R-3m (166)

Structure (extended XYZ):
```
16
Lattice="-0.492 2.731 7.536 -8.042 0.088 -0.557 4.045 -6.759 -1.565" Properties=species:S:1:pos:R:3 pbc="T T T"
S -4.300 -1.215 4.439
S -0.190 -2.725 0.975
S -2.170 0.669 1.806
S -4.054 -2.643 0.693
S -2.320 -4.609 3.608
S -2.410 2.002 5.485
S -0.436 -1.298 4.721
S -2.080 -5.942 -0.071
Nd -0.246 1.366 3.768
Nd 0.000 0.000 0.000
Nd 2.022 -3.380 -0.783
Nd 1.776 -2.014 2.985
Tb -4.267 1.409 3.490
Tb -2.245 -1.970 2.707
Tb -1.999 -3.336 -1.061
Pr -4.021 0.044 -0.278
```

No. 6
TbPr3Nd4S8: optimized geometry, PBE-GGA.

Results
symmetry	R-3m (166)

Structure (extended XYZ):
```
16
Lattice="8.140 0.000 0.000 0.000 8.131 -0.011 -4.070 -4.066 5.759" Properties=species:S:1:pos:R:3 pbc="T T T"
Nd 0.000 0.000 0.000
Nd 4.070 0.000 0.000
Nd 2.035 -2.033 2.879
Nd -2.035 -2.033 2.879
S 1.983 6.065 0.004
S 0.000 -0.018 2.863
S 6.156 6.065 0.004
S 4.070 4.084 2.884
S 2.086 -1.999 5.743
S 0.000 4.083 2.810
S -2.087 -1.999 5.743
S 4.070 -0.018 2.937
Pr -2.035 2.033 2.874
Pr 2.035 2.033 2.874
Pr 4.070 4.066 -0.006
Tb 0.000 4.066 -0.006
```

no.,raw total energy (eV per atom),total magnetic moment (μB/cell)
1,-6.299,0.00
2,-6.436,0.00
3,-6.388,0.00
4,-6.461,0.00
5,-6.435,0.00
6,-6.455,0.00